Entry 1:
The following is a DFT calculation (PBE) of a relaxed GaINO2 crystal.

## Properties
Its spin magnetization is 0.0 μB per formula unit. For the uncorrected formation energy, the calculation gives 109.1 kJ per mole of atoms.

a b c (Å): 4.0283 4.0283 4.1597
angles (deg): 90.00 90.00 90.00
Space group P4/mmm (No. 123)
Symmetry-distinct sites (fractional):
Ga 0.0000 0.0000 0.0000 (multiplicity 1)
I 0.5000 0.5000 0.0000 (multiplicity 1)
N 0.5000 0.5000 0.5000 (multiplicity 1)
O 0.0000 0.5000 0.5000 (multiplicity 2)

---

Entry 2:
The following is a DFT calculation (PBE) of a relaxed YGePd4 crystal.

## Properties
Its spin magnetization is 0.0 μB per formula unit. The total energy is -5.999 eV per atom.

a b c (Å): 7.7195 3.9361 6.9751
angles (deg): 90.00 90.00 90.00
Space group Pmma (No. 51)
Symmetry-distinct sites (fractional):
Y 0.2500 0.0000 0.1406 (multiplicity 2)
Ge 0.2500 0.0000 0.7189 (multiplicity 2)
Pd 0.0000 0.0000 0.5000 (multiplicity 2)
Pd 0.0547 0.5000 0.8071 (multiplicity 4)
Pd 0.2500 0.5000 0.4457 (multiplicity 2)